Entry 1:
# CsHf2V

Crystalline CsHf2V at its relaxed geometry (PBE, Alexandria via LeMat-Bulk).

CIF file:
```
data_CsHf2V
_chemical_formula_sum 'Cs1 Hf2 V1'
_space_group_name_H-M_alt 'P 1'
_space_group_IT_number 1
_space_group_name_Hall 'P 1'
_cell_length_a 5.062
_cell_length_b 5.062
_cell_length_c 5.062
_cell_angle_alpha 60.00
_cell_angle_beta 60.00
_cell_angle_gamma 60.00
loop_
_atom_site_label
_atom_site_type_symbol
_atom_site_fract_x
_atom_site_fract_y
_atom_site_fract_z
Cs1 Cs 0.500 0.500 0.500
Hf1 Hf 0.250 0.250 0.250
Hf2 Hf 0.750 0.750 0.750
V1 V 0.000 0.000 0.000
```

Computed properties:
* N(E_F): 6.0 states/eV/f.u.
* space group: Fm-3m, No. 225


Entry 2:
# CsHf3V

Crystalline CsHf3V at its relaxed geometry (PBE, Alexandria via LeMat-Bulk).

CIF file:
```
data_CsHf3V
_chemical_formula_sum 'Cs1 Hf3 V1'
_space_group_name_H-M_alt 'P 1'
_space_group_IT_number 1
_space_group_name_Hall 'P 1'
_cell_length_a 5.204
_cell_length_b 5.204
_cell_length_c 5.204
_cell_angle_alpha 90.00
_cell_angle_beta 90.00
_cell_angle_gamma 90.00
loop_
_atom_site_label
_atom_site_type_symbol
_atom_site_fract_x
_atom_site_fract_y
_atom_site_fract_z
Cs1 Cs 0.000 0.000 0.000
Hf1 Hf 0.000 0.500 0.000
Hf2 Hf 0.000 0.000 0.500
Hf3 Hf 0.500 0.000 0.000
V1 V 0.500 0.500 0.500
```

Computed properties:
* N(E_F): 7.7 states/eV/f.u.
* space group: Pm-3m, No. 221


Entry 3:
# CsHfV3

Crystalline CsHfV3 at its relaxed geometry (PBE, Alexandria via LeMat-Bulk).

CIF file:
```
data_CsHfV3
_chemical_formula_sum 'Cs1 Hf1 V3'
_space_group_name_H-M_alt 'P 1'
_space_group_IT_number 1
_space_group_name_Hall 'P 1'
_cell_length_a 4.998
_cell_length_b 4.998
_cell_length_c 4.998
_cell_angle_alpha 90.00
_cell_angle_beta 90.00
_cell_angle_gamma 90.00
loop_
_atom_site_label
_atom_site_type_symbol
_atom_site_fract_x
_atom_site_fract_y
_atom_site_fract_z
Cs1 Cs 0.500 0.500 0.500
Hf1 Hf 0.000 0.000 0.000
V1 V 0.000 0.500 0.000
V2 V 0.000 0.000 0.500
V3 V 0.500 0.000 0.000
```

Computed properties:
* N(E_F): 12.0 states/eV/f.u.
* space group: Pm-3m, No. 221


Entry 4:
# CsHfV3

Crystalline CsHfV3 at its relaxed geometry (PBE, Alexandria via LeMat-Bulk).

CIF file:
```
data_CsHfV3
_chemical_formula_sum 'Cs1 Hf1 V3'
_space_group_name_H-M_alt 'P 1'
_space_group_IT_number 1
_space_group_name_Hall 'P 1'
_cell_length_a 4.737
_cell_length_b 4.737
_cell_length_c 4.737
_cell_angle_alpha 90.00
_cell_angle_beta 90.00
_cell_angle_gamma 90.00
loop_
_atom_site_label
_atom_site_type_symbol
_atom_site_fract_x
_atom_site_fract_y
_atom_site_fract_z
Cs1 Cs 0.000 0.000 0.000
Hf1 Hf 0.500 0.500 0.500
V1 V 0.000 0.500 0.000
V2 V 0.000 0.000 0.500
V3 V 0.500 0.000 0.000
```

Computed properties:
* N(E_F): 7.8 states/eV/f.u.
* space group: Pm-3m, No. 221


Entry 5:
# CsHf2V

Crystalline CsHf2V at its relaxed geometry (PBE, Alexandria via LeMat-Bulk).

CIF file:
```
data_CsHf2V
_chemical_formula_sum 'Cs2 Hf4 V2'
_space_group_name_H-M_alt 'P 1'
_space_group_IT_number 1
_space_group_name_Hall 'P 1'
_cell_length_a 7.638
_cell_length_b 7.638
_cell_length_c 7.642
_cell_angle_alpha 60.01
_cell_angle_beta 60.01
_cell_angle_gamma 90.00
loop_
_atom_site_label
_atom_site_type_symbol
_atom_site_fract_x
_atom_site_fract_y
_atom_site_fract_z
Cs1 Cs 0.000 0.000 0.000
Cs2 Cs 0.750 0.250 0.500
Hf1 Hf 0.375 0.125 0.250
Hf2 Hf 0.375 0.625 0.250
Hf3 Hf 0.375 0.625 0.750
Hf4 Hf 0.875 0.625 0.750
V1 V 0.500 0.500 0.000
V2 V 0.250 0.750 0.500
```

Computed properties:
* N(E_F): 1.0 states/eV/f.u.
* space group: Fd-3m, No. 227


Entry 6:
# CsHfW3

Crystalline CsHfW3 at its relaxed geometry (PBE, Alexandria via LeMat-Bulk).

CIF file:
```
data_CsHfW3
_chemical_formula_sum 'Cs1 Hf1 W3'
_space_group_name_H-M_alt 'P 1'
_space_group_IT_number 1
_space_group_name_Hall 'P 1'
_cell_length_a 5.082
_cell_length_b 5.082
_cell_length_c 5.082
_cell_angle_alpha 90.00
_cell_angle_beta 90.00
_cell_angle_gamma 90.00
loop_
_atom_site_label
_atom_site_type_symbol
_atom_site_fract_x
_atom_site_fract_y
_atom_site_fract_z
Cs1 Cs 0.500 0.500 0.500
Hf1 Hf 0.000 0.000 0.000
W1 W 0.000 0.500 0.000
W2 W 0.000 0.000 0.500
W3 W 0.500 0.000 0.000
```

Computed properties:
* N(E_F): 6.3 states/eV/f.u.
* space group: Pm-3m, No. 221


Entry 7:
# CsHfW2

Crystalline CsHfW2 at its relaxed geometry (PBE, Alexandria via LeMat-Bulk).

CIF file:
```
data_CsHfW2
_chemical_formula_sum 'Cs1 Hf1 W2'
_space_group_name_H-M_alt 'P 1'
_space_group_IT_number 1
_space_group_name_Hall 'P 1'
_cell_length_a 4.895
_cell_length_b 4.895
_cell_length_c 4.895
_cell_angle_alpha 60.00
_cell_angle_beta 60.00
_cell_angle_gamma 60.00
loop_
_atom_site_label
_atom_site_type_symbol
_atom_site_fract_x
_atom_site_fract_y
_atom_site_fract_z
Cs1 Cs 0.000 0.000 0.000
Hf1 Hf 0.500 0.500 0.500
W1 W 0.250 0.250 0.250
W2 W 0.750 0.750 0.750
```

Computed properties:
* N(E_F): 5.6 states/eV/f.u.
* space group: Fm-3m, No. 225


Entry 8:
# CsHf2W

Crystalline CsHf2W at its relaxed geometry (PBE, Alexandria via LeMat-Bulk).

CIF file:
```
data_CsHf2W
_chemical_formula_sum 'Cs2 Hf4 W2'
_space_group_name_H-M_alt 'P 1'
_space_group_IT_number 1
_space_group_name_Hall 'P 1'
_cell_length_a 7.995
_cell_length_b 7.995
_cell_length_c 8.050
_cell_angle_alpha 60.23
_cell_angle_beta 60.23
_cell_angle_gamma 90.00
loop_
_atom_site_label
_atom_site_type_symbol
_atom_site_fract_x
_atom_site_fract_y
_atom_site_fract_z
Cs1 Cs 0.500 0.500 0.000
Cs2 Cs 0.250 0.750 0.500
Hf1 Hf 0.875 0.125 0.250
Hf2 Hf 0.875 0.625 0.250
Hf3 Hf 0.375 0.125 0.750
Hf4 Hf 0.875 0.125 0.750
W1 W 0.000 0.000 0.000
W2 W 0.750 0.250 0.500
```

Computed properties:
* N(E_F): 3.8 states/eV/f.u.
* space group: I4_1/amd, No. 141


Entry 9:
# CsHfW2

Crystalline CsHfW2 at its relaxed geometry (PBE, Alexandria via LeMat-Bulk).

CIF file:
```
data_CsHfW2
_chemical_formula_sum 'Cs2 Hf2 W4'
_space_group_name_H-M_alt 'P 1'
_space_group_IT_number 1
_space_group_name_Hall 'P 1'
_cell_length_a 4.822
_cell_length_b 4.822
_cell_length_c 10.456
_cell_angle_alpha 76.67
_cell_angle_beta 76.67
_cell_angle_gamma 90.00
loop_
_atom_site_label
_atom_site_type_symbol
_atom_site_fract_x
_atom_site_fract_y
_atom_site_fract_z
Cs1 Cs 0.500 0.500 0.000
Cs2 Cs 0.250 0.750 0.500
Hf1 Hf 0.000 0.000 0.000
Hf2 Hf 0.750 0.250 0.500
W1 W 0.790 0.125 0.250
W2 W 0.960 0.625 0.250
W3 W 0.375 0.210 0.750
W4 W 0.875 0.040 0.750
```

Computed properties:
* N(E_F): 7.1 states/eV/f.u.
* space group: I-42d, No. 122


Entry 10:
# CsHf2W

Crystalline CsHf2W at its relaxed geometry (PBE, Alexandria via LeMat-Bulk).

CIF file:
```
data_CsHf2W
_chemical_formula_sum 'Cs1 Hf2 W1'
_space_group_name_H-M_alt 'P 1'
_space_group_IT_number 1
_space_group_name_Hall 'P 1'
_cell_length_a 5.051
_cell_length_b 5.051
_cell_length_c 5.051
_cell_angle_alpha 60.00
_cell_angle_beta 60.00
_cell_angle_gamma 60.00
loop_
_atom_site_label
_atom_site_type_symbol
_atom_site_fract_x
_atom_site_fract_y
_atom_site_fract_z
Cs1 Cs 0.000 0.000 0.000
Hf1 Hf 0.250 0.250 0.250
Hf2 Hf 0.750 0.750 0.750
W1 W 0.500 0.500 0.500
```

Computed properties:
* N(E_F): 4.8 states/eV/f.u.
* space group: Fm-3m, No. 225


Entry 11:
# CsHfW3

Crystalline CsHfW3 at its relaxed geometry (PBE, Alexandria via LeMat-Bulk).

CIF file:
```
data_CsHfW3
_chemical_formula_sum 'Cs1 Hf1 W3'
_space_group_name_H-M_alt 'P 1'
_space_group_IT_number 1
_space_group_name_Hall 'P 1'
_cell_length_a 4.894
_cell_length_b 4.894
_cell_length_c 4.894
_cell_angle_alpha 90.00
_cell_angle_beta 90.00
_cell_angle_gamma 90.00
loop_
_atom_site_label
_atom_site_type_symbol
_atom_site_fract_x
_atom_site_fract_y
_atom_site_fract_z
Cs1 Cs 0.000 0.000 0.000
Hf1 Hf 0.500 0.500 0.500
W1 W 0.000 0.500 0.000
W2 W 0.000 0.000 0.500
W3 W 0.500 0.000 0.000
```

Computed properties:
* N(E_F): 9.8 states/eV/f.u.
* space group: Pm-3m, No. 221


Entry 12:
# CsYHf

Crystalline CsYHf at its relaxed geometry (PBE, Alexandria via LeMat-Bulk).

CIF file:
```
data_CsYHf
_chemical_formula_sum 'Cs2 Y2 Hf2'
_space_group_name_H-M_alt 'P 1'
_space_group_IT_number 1
_space_group_name_Hall 'P 1'
_cell_length_a 28.591
_cell_length_b 14.328
_cell_length_c 14.328
_cell_angle_alpha 161.44
_cell_angle_beta 167.05
_cell_angle_gamma 12.95
loop_
_atom_site_label
_atom_site_type_symbol
_atom_site_fract_x
_atom_site_fract_y
_atom_site_fract_z
Cs1 Cs 0.756 0.914 0.086
Cs2 Cs 0.244 0.086 0.914
Y1 Y 0.746 0.204 0.796
Y2 Y 0.254 0.796 0.204
Hf1 Hf 0.752 0.779 0.221
Hf2 Hf 0.248 0.221 0.779
```

Computed properties:
* N(E_F): 3.5 states/eV/f.u.
* space group: C2/m, No. 12


Entry 13:
# CsYHf

Crystalline CsYHf at its relaxed geometry (PBE, Alexandria via LeMat-Bulk).

CIF file:
```
data_CsYHf
_chemical_formula_sum 'Cs2 Y2 Hf2'
_space_group_name_H-M_alt 'P 1'
_space_group_IT_number 1
_space_group_name_Hall 'P 1'
_cell_length_a 3.881
_cell_length_b 17.149
_cell_length_c 3.884
_cell_angle_alpha 90.33
_cell_angle_beta 90.00
_cell_angle_gamma 102.75
loop_
_atom_site_label
_atom_site_type_symbol
_atom_site_fract_x
_atom_site_fract_y
_atom_site_fract_z
Cs1 Cs 0.830 0.000 0.220
Cs2 Cs 0.034 0.722 0.737
Y1 Y 0.329 0.511 0.234
Y2 Y 0.538 0.212 0.726
Hf1 Hf 0.146 0.323 0.229
Hf2 Hf 0.721 0.399 0.731
```

Computed properties:
* N(E_F): 3.3 states/eV/f.u.
* space group: C2, No. 5


Entry 14:
# CsYHf

Crystalline CsYHf at its relaxed geometry (PBE, Alexandria via LeMat-Bulk).

CIF file:
```
data_CsYHf
_chemical_formula_sum 'Cs4 Y4 Hf4'
_space_group_name_H-M_alt 'P 1'
_space_group_IT_number 1
_space_group_name_Hall 'P 1'
_cell_length_a 12.947
_cell_length_b 3.434
_cell_length_c 10.943
_cell_angle_alpha 90.00
_cell_angle_beta 90.00
_cell_angle_gamma 90.00
loop_
_atom_site_label
_atom_site_type_symbol
_atom_site_fract_x
_atom_site_fract_y
_atom_site_fract_z
Cs1 Cs 0.850 0.250 0.431
Cs2 Cs 0.650 0.750 0.931
Cs3 Cs 0.150 0.750 0.569
Cs4 Cs 0.350 0.250 0.069
Y1 Y 0.903 0.250 0.787
Y2 Y 0.597 0.750 0.287
Y3 Y 0.097 0.750 0.213
Y4 Y 0.403 0.250 0.713
Hf1 Hf 0.428 0.250 0.427
Hf2 Hf 0.072 0.750 0.927
Hf3 Hf 0.572 0.750 0.573
Hf4 Hf 0.928 0.250 0.073
```

Computed properties:
* N(E_F): 4.0 states/eV/f.u.
* space group: Pnma, No. 62


Entry 15:
# CsYHf3

Crystalline CsYHf3 at its relaxed geometry (PBE, Alexandria via LeMat-Bulk).

CIF file:
```
data_CsYHf3
_chemical_formula_sum 'Cs1 Y1 Hf3'
_space_group_name_H-M_alt 'P 1'
_space_group_IT_number 1
_space_group_name_Hall 'P 1'
_cell_length_a 5.286
_cell_length_b 5.286
_cell_length_c 5.286
_cell_angle_alpha 90.00
_cell_angle_beta 90.00
_cell_angle_gamma 90.00
loop_
_atom_site_label
_atom_site_type_symbol
_atom_site_fract_x
_atom_site_fract_y
_atom_site_fract_z
Cs1 Cs 0.000 0.000 0.000
Y1 Y 0.500 0.500 0.500
Hf1 Hf 0.000 0.500 0.000
Hf2 Hf 0.000 0.000 0.500
Hf3 Hf 0.500 0.000 0.000
```

Computed properties:
* N(E_F): 9.1 states/eV/f.u.
* space group: Pm-3m, No. 221


Entry 16:
# CsYHf3

Crystalline CsYHf3 at its relaxed geometry (PBE, Alexandria via LeMat-Bulk).

CIF file:
```
data_CsYHf3
_chemical_formula_sum 'Cs1 Y1 Hf3'
_space_group_name_H-M_alt 'P 1'
_space_group_IT_number 1
_space_group_name_Hall 'P 1'
_cell_length_a 5.536
_cell_length_b 5.536
_cell_length_c 5.536
_cell_angle_alpha 90.00
_cell_angle_beta 90.00
_cell_angle_gamma 90.00
loop_
_atom_site_label
_atom_site_type_symbol
_atom_site_fract_x
_atom_site_fract_y
_atom_site_fract_z
Cs1 Cs 0.500 0.500 0.500
Y1 Y 0.000 0.000 0.000
Hf1 Hf 0.000 0.500 0.000
Hf2 Hf 0.000 0.000 0.500
Hf3 Hf 0.500 0.000 0.000
```

Computed properties:
* N(E_F): 8.7 states/eV/f.u.
* space group: Pm-3m, No. 221


Entry 17:
# CsYHf2

Crystalline CsYHf2 at its relaxed geometry (PBE, Alexandria via LeMat-Bulk).

CIF file:
```
data_CsYHf2
_chemical_formula_sum 'Cs2 Y2 Hf4'
_space_group_name_H-M_alt 'P 1'
_space_group_IT_number 1
_space_group_name_Hall 'P 1'
_cell_length_a 4.492
_cell_length_b 4.492
_cell_length_c 12.033
_cell_angle_alpha 79.24
_cell_angle_beta 79.24
_cell_angle_gamma 90.00
loop_
_atom_site_label
_atom_site_type_symbol
_atom_site_fract_x
_atom_site_fract_y
_atom_site_fract_z
Cs1 Cs 0.000 0.000 0.000
Cs2 Cs 0.750 0.250 0.500
Y1 Y 0.500 0.500 0.000
Y2 Y 0.250 0.750 0.500
Hf1 Hf 0.612 0.125 0.250
Hf2 Hf 0.138 0.625 0.250
Hf3 Hf 0.375 0.388 0.750
Hf4 Hf 0.875 0.862 0.750
```

Computed properties:
* N(E_F): 4.9 states/eV/f.u.
* space group: I-42d, No. 122


Entry 18:
# CsYHf

Crystalline CsYHf at its relaxed geometry (PBE, Alexandria via LeMat-Bulk).

CIF file:
```
data_CsYHf
_chemical_formula_sum 'Cs4 Y4 Hf4'
_space_group_name_H-M_alt 'P 1'
_space_group_IT_number 1
_space_group_name_Hall 'P 1'
_cell_length_a 5.089
_cell_length_b 7.013
_cell_length_c 13.174
_cell_angle_alpha 90.00
_cell_angle_beta 90.00
_cell_angle_gamma 90.00
loop_
_atom_site_label
_atom_site_type_symbol
_atom_site_fract_x
_atom_site_fract_y
_atom_site_fract_z
Cs1 Cs 0.757 0.250 0.846
Cs2 Cs 0.743 0.750 0.346
Cs3 Cs 0.243 0.750 0.154
Cs4 Cs 0.257 0.250 0.654
Y1 Y 0.756 0.250 0.444
Y2 Y 0.744 0.750 0.944
Y3 Y 0.244 0.750 0.556
Y4 Y 0.256 0.250 0.056
Hf1 Hf 0.256 0.250 0.293
Hf2 Hf 0.244 0.750 0.793
Hf3 Hf 0.744 0.750 0.707
Hf4 Hf 0.756 0.250 0.207
```

Computed properties:
* N(E_F): 3.9 states/eV/f.u.
* space group: Pnma, No. 62


Entry 19:
# CsYHf2

Crystalline CsYHf2 at its relaxed geometry (PBE, Alexandria via LeMat-Bulk).

CIF file:
```
data_CsYHf2
_chemical_formula_sum 'Cs1 Y1 Hf2'
_space_group_name_H-M_alt 'P 1'
_space_group_IT_number 1
_space_group_name_Hall 'P 1'
_cell_length_a 5.476
_cell_length_b 5.476
_cell_length_c 5.476
_cell_angle_alpha 60.00
_cell_angle_beta 60.00
_cell_angle_gamma 60.00
loop_
_atom_site_label
_atom_site_type_symbol
_atom_site_fract_x
_atom_site_fract_y
_atom_site_fract_z
Cs1 Cs 0.500 0.500 0.500
Y1 Y 0.000 0.000 0.000
Hf1 Hf 0.250 0.250 0.250
Hf2 Hf 0.750 0.750 0.750
```

Computed properties:
* N(E_F): 7.8 states/eV/f.u.
* space group: Fm-3m, No. 225


Entry 20:
# CsYHf

Crystalline CsYHf at its relaxed geometry (PBE, Alexandria via LeMat-Bulk).

CIF file:
```
data_CsYHf
_chemical_formula_sum 'Cs4 Y4 Hf4'
_space_group_name_H-M_alt 'P 1'
_space_group_IT_number 1
_space_group_name_Hall 'P 1'
_cell_length_a 14.853
_cell_length_b 6.288
_cell_length_c 5.524
_cell_angle_alpha 90.00
_cell_angle_beta 90.00
_cell_angle_gamma 90.00
loop_
_atom_site_label
_atom_site_type_symbol
_atom_site_fract_x
_atom_site_fract_y
_atom_site_fract_z
Cs1 Cs 0.736 0.250 0.013
Cs2 Cs 0.764 0.750 0.513
Cs3 Cs 0.264 0.750 0.987
Cs4 Cs 0.236 0.250 0.487
Y1 Y 0.000 0.000 0.000
Y2 Y 0.500 0.500 0.500
Y3 Y 0.500 0.000 0.500
Y4 Y 0.000 0.500 0.000
Hf1 Hf 0.486 0.250 0.000
Hf2 Hf 0.014 0.750 0.500
Hf3 Hf 0.514 0.750 0.000
Hf4 Hf 0.986 0.250 0.500
```

Computed properties:
* N(E_F): 5.6 states/eV/f.u.
* space group: Pnma, No. 62


Calculated energy relative to the elements, 558; 1215; 910; 1149; 550; 1349; 774; 617; 810; 544; 1725; 109; 89; 217; 899; 820; 500; 273; 494; 249 kJ/mol of formula units (same order as the records).
Calculated magnetization, 0.01; 2.95; 8.04; 1.42; 0.00; 1.45; 0.00; 0.00; 0.00; 0.00; 0.00; 0.00; 0.00; 0.00; 0.00; 0.00; 0.00; 0.00; 0.00; 0.00 μB per formula unit (same order as the records).
Calculated distance to the lowest polymorph of the same formula, 20; 1384; 0; 495; 0; 0; 0; 188; 94; 0; 780; 71; 0; 443; 164; 0; 17; 637; 0; 552 meV per atom (same order as the records).